SrGd3 after structural relaxation. Source: the Alexandria database, functional PBE.

Cell and atoms, written as POSCAR:
```
SrGd3
1.0
-0.9915 0.6812 -5.0938
-3.7504 -3.6427 0.2429
-1.1566 5.1914 3.6083
Sr Gd
1 3
Cartesian
0.0000 0.0000 0.0000 Sr
-2.3709 -1.4808 -2.4254 Gd
-2.2595 2.1959 -1.9555 Gd
-3.6390 0.0340 0.7128 Gd
```

Properties
SG: No. 139
Energy of formation (meV per atom): 188

MnCrCoRu after structural relaxation. Source: the Alexandria database, functional PBE.

Cell and atoms, written as POSCAR:
```
MnCrCoRu
1.0
-1.3251 1.6599 1.4451
-0.6405 -1.9032 1.5987
7.1996 -0.3551 2.4618
Cr Co Ru Mn
1 1 1 1
Cartesian
0.7885 -0.6951 3.3196 Cr
-0.9312 0.7795 2.3253 Co
3.3740 -0.2168 2.8643 Ru
5.2035 -1.6680 3.9300 Mn
```

Properties
SG: No. 6
Energy of formation (meV per atom): 119

LiTm2Sc3Se6 after structural relaxation. Source: the Alexandria database, functional PBE.

Cell and atoms, written as POSCAR:
```
LiTm2Sc3Se6
1.0
6.7802 -0.0038 -0.0028
-3.3917 5.8709 -0.0028
-1.1329 -1.9617 6.4409
Se Tm Li Sc
6 2 1 3
Cartesian
-1.1060 1.9072 1.6427 Se
-0.0360 -0.0623 4.8121 Se
0.0509 3.9102 4.7926 Se
2.2915 3.9677 1.6232 Se
3.3615 1.9982 4.7926 Se
2.2046 -0.0048 1.6427 Se
0.0120 3.9051 -0.0028 Tm
3.3765 1.9620 -0.0028 Tm
0.0000 0.0000 0.0000 Li
4.5192 -0.0060 3.2176 Sc
1.1277 1.9527 3.2176 Sc
-2.2637 3.9114 3.2176 Sc
```

Properties
SG: No. 12
ΔE_f (raw) (eV/atom): -1.6474

What did the second record say?
MnCrCoRu after structural relaxation. Source: the Alexandria database, functional PBE.

Cell and atoms, written as POSCAR:
```
MnCrCoRu
1.0
-1.3251 1.6599 1.4451
-0.6405 -1.9032 1.5987
7.1996 -0.3551 2.4618
Cr Co Ru Mn
1 1 1 1
Cartesian
0.7885 -0.6951 3.3196 Cr
-0.9312 0.7795 2.3253 Co
3.3740 -0.2168 2.8643 Ru
5.2035 -1.6680 3.9300 Mn
```

Properties
SG: No. 6
Energy of formation (meV per atom): 119